# 1
Entry from Alexandria via LeMat-Bulk: a relaxed NdMgAu4 crystal (PBE).

- V (Å³/atom) = 21.0
- offset from the most stable computed form (meV per atom) = 81.1
- energy (Ha/atom) = -0.137
- formation energy from the elements (kJ/mol of atoms) = -48
- size of the total moment (μB per formula unit) = 0.000

Geometry as POSCAR:
```
NdMgAu4
1.0
-1.166 0.834 5.444
2.412 -3.238 3.923
3.915 2.163 3.419
Nd Au Mg
1 4 1
Cartesian
0.000 0.000 0.000
3.222 -0.151 7.983
1.274 -1.227 6.283
2.022 1.460 6.032
3.802 -0.565 5.275
1.290 -0.060 3.197
```

=====

# 2
Entry from Alexandria via LeMat-Bulk: a relaxed AcCeHgO2 crystal (PBE).

- V (Å³/atom) = 23.0
- energy (Ha/atom) = -0.237
- size of the total moment (μB per formula unit) = 1.050
- raw formation energy (meV per atom) = -2393

Geometry as POSCAR:
```
AcCeHgO2
1.0
-3.554 -0.826 1.981
1.351 -3.838 0.824
3.782 4.502 4.311
Ce O Ac Hg
1 2 1 1
Cartesian
0.879 0.712 1.874
1.975 -0.867 3.181
-0.477 0.639 3.760
0.753 -0.832 5.353
-1.072 -2.308 1.465
```

=====

# 3
Entry from Alexandria via LeMat-Bulk: a relaxed Tb2Tm2Al3 crystal (PBE).

- V (Å³/atom) = 24.9
- energy (Ha/atom) = -0.165
- formation energy from the elements (kJ/mol of atoms) = -28
- size of the total moment (μB per formula unit) = 0.000

Geometry as POSCAR:
```
Tb2Tm2Al3
1.0
3.499 0.000 0.464
0.000 3.526 0.000
-0.095 0.000 14.128
Al Tb Tm
3 2 2
Cartesian
3.029 0.000 4.006
0.375 3.526 10.586
0.000 0.000 0.000
1.039 1.763 5.586
2.365 1.763 9.006
1.888 1.763 12.601
1.516 1.763 1.991
```

=====

Question: The highest energy belongs to which entry?
Answer: NdMgAu4